# CuHgS2

A geometry-optimized CuHgS2 structure (PBE, Alexandria via LeMat-Bulk).

* uncorrected formation energy: 0.1 eV/f.u.
* raw total energy: -3.130 eV per atom

Lattice parameters (Å, degrees): 6.5460 3.8324 12.3111 90.00 90.00 90.00
Fractional positions:
Cu: 0.0902 0.2500 0.1215
Cu: 0.4098 0.7500 0.6215
Cu: 0.5902 0.2500 0.3785
Cu: 0.9098 0.7500 0.8785
Hg: 0.1084 0.7500 0.3839
Hg: 0.3916 0.2500 0.8839
Hg: 0.6084 0.7500 0.1161
Hg: 0.8916 0.2500 0.6161
S: 0.0987 0.7500 0.7108
S: 0.1864 0.7500 0.9952
S: 0.3136 0.2500 0.4952
S: 0.4013 0.2500 0.2108
S: 0.5987 0.7500 0.7892
S: 0.6864 0.7500 0.5048
S: 0.8136 0.2500 0.0048
S: 0.9013 0.2500 0.2892